Entry 1:
A plane-wave DFT calculation with PBE was carried out for Dy2Al4Pd3Au after structural relaxation.

Properties
The volume is 18.917 A^3/atom. The energy of formation is -0.815 eV/atom. As for the total energy: -5.1185 eV per atom.

Unit cell a=4.187 b=4.187 c=10.793 alpha=90.00 beta=90.00 gamma=90.00
Space group P-4m2 (No. 115)
Inequivalent atoms, fractional coordinates:
Dy (0.000, 0.500, 0.242) [2 per cell]
Al (0.000, 0.000, 0.000) [1 per cell]
Al (0.000, 0.500, 0.636) [2 per cell]
Al (0.500, 0.500, 0.000) [1 per cell]
Pd (0.000, 0.500, 0.865) [2 per cell]
Pd (0.500, 0.500, 0.500) [1 per cell]
Au (0.000, 0.000, 0.500) [1 per cell]

Entry 2:
A plane-wave DFT calculation with PBE was carried out for BaBeW2 after structural relaxation.

Properties
The volume is 22.251 A^3/atom. The energy of formation is 0.791 eV/atom. As for the total energy: -7.0980 eV per atom.

Unit cell a=8.370 b=3.183 c=6.783 alpha=90.00 beta=99.91 gamma=90.00
Space group Cm (No. 8)
Inequivalent atoms, fractional coordinates:
Ba (0.000, 0.000, 0.000) [2 per cell]
Be (0.265, 0.000, 0.638) [2 per cell]
W (0.045, 0.500, 0.529) [2 per cell]
W (0.306, 0.500, 0.378) [2 per cell]

Entry 3:
A plane-wave DFT calculation with PBE was carried out for NpAgAs2O8 after structural relaxation.

Properties
The volume is 16.042 A^3/atom. The uncorrected formation energy is -1.467 eV/atom. As for the total energy: -6.8633 eV per atom.

Unit cell a=5.7109 b=5.7109 c=6.8156 alpha=90.00 beta=90.00 gamma=120.00
Space group P-3m1 (No. 164)
Inequivalent atoms, fractional coordinates:
Np (0.0000, 0.0000, 0.0000) [1 per cell]
Ag (0.0000, 0.0000, 0.5000) [1 per cell]
As (0.3333, 0.6667, 0.7066) [2 per cell]
O (0.1711, 0.3423, 0.8098) [6 per cell]
O (0.3333, 0.6667, 0.4637) [2 per cell]

Entry 4:
A plane-wave DFT calculation with PBE was carried out for BaCaTeCl2 after structural relaxation.

Properties
The volume is 36.375 A^3/atom. The uncorrected formation energy is -2.087 eV/atom. As for the total energy: -4.2392 eV per atom.

Unit cell a=4.998 b=4.998 c=7.281 alpha=90.00 beta=90.00 gamma=90.00
Space group P4mm (No. 99)
Inequivalent atoms, fractional coordinates:
Ba (0.000, 0.000, 0.000) [1 per cell]
Ca (0.500, 0.500, 0.443) [1 per cell]
Te (0.500, 0.500, 0.857) [1 per cell]
Cl (0.000, 0.500, 0.302) [2 per cell]

Entry 5:
A plane-wave DFT calculation with PBE was carried out for InSbTe4 after structural relaxation.

Properties
The volume is 30.882 A^3/atom. The uncorrected formation energy is 0.383 eV/atom. As for the total energy: -2.8551 eV per atom.

Unit cell a=9.050 b=9.050 c=9.050 alpha=90.00 beta=90.00 gamma=90.00
Space group F-43m (No. 216)
Inequivalent atoms, fractional coordinates:
In (0.000, 0.000, 0.000) [4 per cell]
Sb (0.250, 0.250, 0.750) [4 per cell]
Te (0.124, 0.124, 0.376) [16 per cell]

Entry 6:
A plane-wave DFT calculation with PBE was carried out for Ge3PdPt5 after structural relaxation.

Properties
The volume is 16.567 A^3/atom. The energy of formation is -0.193 eV/atom. As for the total energy: -5.6651 eV per atom.

Unit cell a=2.952 b=13.844 c=14.592 alpha=90.00 beta=90.00 gamma=90.00
Space group Cmcm (No. 63)
Inequivalent atoms, fractional coordinates:
Ge (0.000, 0.119, 0.096) [8 per cell]
Ge (0.000, 0.332, 0.250) [4 per cell]
Pd (0.000, 0.326, 0.750) [4 per cell]
Pt (0.000, 0.051, 0.655) [8 per cell]
Pt (0.000, 0.292, 0.074) [8 per cell]
Pt (0.000, 0.500, 0.000) [4 per cell]

Entry 7:
A plane-wave DFT calculation with PBE was carried out for Pr2Pa2Ni15 after structural relaxation.

Properties
The volume is 14.351 A^3/atom. The energy of formation is -0.262 eV/atom. As for the total energy: -6.3285 eV per atom.

Unit cell a=8.5528 b=8.5528 c=12.9122 alpha=90.00 beta=90.00 gamma=120.00
Space group R-3m (No. 166, hexagonal axes)
Inequivalent atoms, fractional coordinates:
Pr (0.0000, 0.0000, 0.1402) [6 per cell]
Pa (0.0000, 0.0000, 0.3909) [6 per cell]
Ni (0.0000, 0.3046, 0.5000) [18 per cell]
Ni (0.0000, 0.5000, 0.0000) [9 per cell]
Ni (0.0006, 0.5003, 0.6576) [18 per cell]

Entry 8:
A plane-wave DFT calculation with PBE was carried out for AgTePb2W after structural relaxation.

Properties
The volume is 31.086 A^3/atom. The uncorrected formation energy is 1.273 eV/atom. As for the total energy: -4.0000 eV per atom.

Unit cell a=5.409 b=5.409 c=5.312 alpha=90.00 beta=90.00 gamma=90.00
Space group P4/mmm (No. 123)
Inequivalent atoms, fractional coordinates:
Ag (0.000, 0.000, 0.000) [1 per cell]
Te (0.500, 0.500, 0.500) [1 per cell]
Pb (0.000, 0.500, 0.000) [2 per cell]
W (0.000, 0.000, 0.500) [1 per cell]

The lowest volume belongs to which entry?
Pr2Pa2Ni15